Entry from the Alexandria database: crystalline AlCuIr2 at its relaxed geometry (PBE).

Geometry as CIF:
```
data_AlCuIr2
_chemical_formula_sum 'Al2 Cu2 Ir4'
_cell_length_a 2.7580
_cell_length_b 4.7343
_cell_length_c 8.7379
_cell_angle_alpha 90.00
_cell_angle_beta 90.00
_cell_angle_gamma 90.00
_symmetry_space_group_name_H-M 'C m m 2'
_symmetry_Int_Tables_number 35
_symmetry_space_group_name_Hall 'C 2 -2'
loop_
_atom_site_label
_atom_site_fract_x
_atom_site_fract_y
_atom_site_fract_z
_atom_site_occupancy
Al1 0.0000 0.0000 0.0000 1
Cu1 0.0000 0.5000 0.2378 1
Ir1 0.0000 0.0000 0.4920 1
Ir2 0.0000 0.5000 0.7619 1
```

Properties
**DFT formation energy**: 20 meV per atom